No. 1
Li2HfHgRu: relaxed, GGA-PBE.

Calculated values
As for the calculated total energy: -0.285 Ry/atom. The value obtained for the total magnetic moment is 0.0 Bohr magnetons per cell. As for the space-group type: No. 123. The calculation puts the density of states at the Fermi level at 3.4 states/eV/f.u.

Cell: 4.3004 4.3004 5.5168 Å, 90.00 90.00 90.00°
Fractional coordinates of all 5 atoms:
Li: 0.0000 0.5000 0.0000
Li: 0.5000 0.0000 0.0000
Hf: 0.0000 0.0000 0.5000
Hg: 0.0000 0.0000 0.0000
Ru: 0.5000 0.5000 0.5000



No. 2
Li4TmMg: relaxed, GGA-PBE.

Calculated values
As for the calculated total energy: -0.165 Ry/atom. The value obtained for the total magnetic moment is 0.0 Bohr magnetons per cell. As for the space-group type: No. 216. The calculation puts the density of states at the Fermi level at 8.4 states/eV/f.u.

Cell: 5.6297 5.6297 5.6297 Å, 60.00 60.00 60.00°
Fractional coordinates of all 6 atoms:
Li: 0.3758 0.3758 0.3758
Li: 0.3758 0.3758 0.8726
Li: 0.3758 0.8726 0.3758
Li: 0.8726 0.3758 0.3758
Tm: 0.0000 0.0000 0.0000
Mg: 0.7500 0.7500 0.7500



No. 3
Mg6Cd10In: relaxed, GGA-PBE.

Calculated values
As for the calculated total energy: -0.095 Ry/atom. The value obtained for the total magnetic moment is 0.0 Bohr magnetons per cell. As for the space-group type: No. 162. The calculation puts the density of states at the Fermi level at 7.0 states/eV/f.u.

Cell: 8.5058 8.5058 6.1450 Å, 90.00 90.00 120.00°
Fractional coordinates of all 17 atoms:
Mg: 0.0000 0.3473 0.3450
Mg: 0.0000 0.6527 0.6550
Mg: 0.3473 0.0000 0.3450
Mg: 0.3473 0.3473 0.6550
Mg: 0.6527 0.0000 0.6550
Mg: 0.6527 0.6527 0.3450
Cd: 0.0000 0.3007 0.8465
Cd: 0.0000 0.6993 0.1535
Cd: 0.3007 0.0000 0.8465
Cd: 0.3007 0.3007 0.1535
Cd: 0.3333 0.6667 0.0000
Cd: 0.3333 0.6667 0.5000
Cd: 0.6667 0.3333 0.0000
Cd: 0.6667 0.3333 0.5000
Cd: 0.6993 0.0000 0.1535
Cd: 0.6993 0.6993 0.8465
In: 0.0000 0.0000 0.5000



No. 4
TaSbMo2: relaxed, GGA-PBE.

Calculated values
As for the calculated total energy: -0.671 Ry/atom. The value obtained for the total magnetic moment is 0.0 Bohr magnetons per cell. As for the space-group type: No. 35. The calculation puts the density of states at the Fermi level at 2.9 states/eV/f.u. The uncorrected formation energy is 0.275 eV per atom.

Cell: 2.9659 2.9659 8.7682 Å, 90.00 90.00 110.39°
Fractional coordinates of all 4 atoms:
Ta: 0.0000 0.0000 0.0000
Sb: 0.5000 0.5000 0.2655
Mo: 0.0000 0.0000 0.5238
Mo: 0.5000 0.5000 0.7564